A geometry-optimized CaFeW structure, computed with GGA-PBE.

```
3
Lattice="-1.5665 1.5665 5.8169 1.5665 -1.5665 5.8169 1.5665 1.5665 -5.8169" Properties=species:S:1:pos:R:3 pbc="T T T"
Ca 0.0000 0.0000 0.0000
Fe 0.0000 0.0000 3.4984
W 0.0000 0.0000 8.3034
```

Properties
- Energy above the most stable polymorph in this dataset: 0.0000 eV/atom
- E: -7.29 eV/atom
- D(E_F): 3.8 states/eV/f.u.

A geometry-optimized CaFe2W structure, computed with GGA-PBE.

```
8
Lattice="-3.4474 3.4474 2.9419 3.4474 -3.4474 2.9419 3.4474 3.4474 -2.9419" Properties=species:S:1:pos:R:3 pbc="T T T"
Ca 0.0000 0.0000 0.0000
Ca 0.0000 3.4474 1.4710
Fe 1.7237 -1.3603 2.2064
Fe 2.0871 1.7237 0.7355
Fe 1.7237 4.8076 -0.7355
Fe 1.3603 1.7237 3.6774
W 3.4474 0.0000 1.4710
W 0.0000 0.0000 2.9419
```

Properties
- Energy above the most stable polymorph in this dataset: 0.5911 eV/atom
- E: -7.03 eV/atom
- D(E_F): 2.7 states/eV/f.u.